! Cs2K7Rb PBE-GGA relaxed; values from VASP
! Electronic total energy: -0.889 eV/atom
! E_form: 0.147 eV per atom
&SYSTEM
  ibrav = 0, nat = 10, ntyp = 3
/
ATOMIC_SPECIES
Cs 132.91 Cs.upf
K 39.10 K.upf
Rb 85.47 Rb.upf
ATOMIC_POSITIONS angstrom
Cs 3.935 3.935 3.935
Cs 11.804 11.804 11.804
K 0.000 0.000 0.000
K 7.869 7.869 3.857
K 7.869 3.857 7.869
K 11.882 7.869 7.869
K 3.857 7.869 7.869
K 7.869 11.882 7.869
K 7.869 7.869 11.882
Rb 7.869 7.869 7.869
CELL_PARAMETERS angstrom
0.000 7.869 7.869
7.869 0.000 7.869
7.869 7.869 0.000